Entry 1:
Here is a relaxed Ho6Tl5Zn crystal from Alexandria. Energies are from PBE.

Properties
Its energy is -3.7075 eV per atom. As for the formation enthalpy at 0 K: -3.9 eV per formula unit. The value obtained for the total magnetization is 0.000 μB per atom.

abc: 5.318 7.428 8.407
angles: 90.00 71.56 90.00
Sites, in units of the cell vectors:
Zn: 0.000 0.000 0.000
Tl: 0.669 0.500 0.663
Tl: 0.335 0.000 0.331
Tl: 0.000 0.500 0.000
Tl: 0.665 0.000 0.669
Tl: 0.331 0.500 0.337
Ho: 0.837 0.755 0.325
Ho: 0.837 0.245 0.325
Ho: 0.500 0.243 0.000
Ho: 0.500 0.757 0.000
Ho: 0.163 0.755 0.675
Ho: 0.163 0.245 0.675

***

Entry 2:
Here is a relaxed HoZr2Tl crystal from Alexandria. Energies are from PBE.

Properties
Its energy is -5.9490 eV per atom. As for the formation enthalpy at 0 K: 0.2 eV per formula unit. The value obtained for the total magnetization is 0.000 μB per atom.

abc: 3.346 3.346 10.595
angles: 80.93 80.93 60.03
Sites, in units of the cell vectors:
Ho: 0.500 0.500 0.501
Zr: 0.082 0.082 0.755
Zr: 0.252 0.252 0.244
Tl: 0.667 0.667 0.000

***

Entry 3:
Here is a relaxed Ho5ZrTl6 crystal from Alexandria. Energies are from PBE.

Properties
Its energy is -4.0559 eV per atom. As for the formation enthalpy at 0 K: -3.0 eV per formula unit. The value obtained for the total magnetization is 0.000 μB per atom.

abc: 5.320 9.189 9.189
angles: 120.36 106.89 106.89
Sites, in units of the cell vectors:
Tl: 0.248 0.083 0.413
Tl: 0.752 0.587 0.917
Tl: 0.746 0.246 0.246
Tl: 0.254 0.754 0.754
Tl: 0.248 0.413 0.083
Tl: 0.752 0.917 0.587
Ho: 0.500 0.164 0.836
Ho: 0.000 0.332 0.668
Ho: 0.500 0.500 0.500
Ho: 0.000 0.668 0.332
Ho: 0.500 0.836 0.164
Zr: 0.000 0.000 0.000